DFT (PBE-GGA) results for a geometry-optimized La3TlSi2Pd9 structure.

Results
SG	No. 164
uncorrected energy	-5.6306	eV/atom

Cell: 5.8553 5.8553 11.3455 Å, 90.00 90.00 120.00°
Fractional positions:
1 La 0.0000 0.0000 0.0000
2 La 0.3333 0.6667 0.7407
3 La 0.6667 0.3333 0.2593
4 Tl 0.0000 0.0000 0.5000
5 Si 0.3333 0.6667 0.1560
6 Si 0.6667 0.3333 0.8440
7 Pd 0.0000 0.5000 0.0000
8 Pd 0.1596 0.3192 0.2964
9 Pd 0.1596 0.8404 0.2964
10 Pd 0.3192 0.1596 0.7036
11 Pd 0.5000 0.0000 0.0000
12 Pd 0.5000 0.5000 0.0000
13 Pd 0.6808 0.8404 0.2964
14 Pd 0.8404 0.1596 0.7036
15 Pd 0.8404 0.6808 0.7036

=====

DFT (PBE-GGA) results for a geometry-optimized La2TmSi3Pd4 structure.

Results
SG	No. 115
uncorrected energy	-6.0375	eV/atom

Cell: 4.3102 4.3102 10.8190 Å, 90.00 90.00 90.00°
Fractional positions:
1 La 0.0000 0.5000 0.2291
2 La 0.5000 0.0000 0.7709
3 Tm 0.0000 0.0000 0.5000
4 Si 0.0000 0.5000 0.8822
5 Si 0.5000 0.0000 0.1178
6 Si 0.5000 0.5000 0.5000
7 Pd 0.0000 0.0000 0.0000
8 Pd 0.0000 0.5000 0.6559
9 Pd 0.5000 0.0000 0.3441
10 Pd 0.5000 0.5000 0.0000

=====

DFT (PBE-GGA) results for a geometry-optimized LaSi2PdW structure.

Results
SG	No. 123
uncorrected energy	-4.5371	eV/atom

Cell: 5.2521 5.2521 4.9230 Å, 90.00 90.00 90.00°
Fractional positions:
1 La 0.0000 0.0000 0.0000
2 Si 0.0000 0.5000 0.0000
3 Si 0.5000 0.0000 0.0000
4 Pd 0.5000 0.5000 0.5000
5 W 0.0000 0.0000 0.5000

=====

DFT (PBE-GGA) results for a geometry-optimized La2ZnSi4Pd3 structure.

Results
SG	No. 115
uncorrected energy	-5.6668	eV/atom

Cell: 4.2864 4.2864 10.1103 Å, 90.00 90.00 90.00°
Fractional positions:
1 La 0.0000 0.5000 0.2472
2 La 0.5000 0.0000 0.7528
3 Zn 0.0000 0.0000 0.5000
4 Si 0.0000 0.0000 0.0000
5 Si 0.0000 0.5000 0.6357
6 Si 0.5000 0.0000 0.3643
7 Si 0.5000 0.5000 0.0000
8 Pd 0.0000 0.5000 0.8808
9 Pd 0.5000 0.0000 0.1192
10 Pd 0.5000 0.5000 0.5000

=====

DFT (PBE-GGA) results for a geometry-optimized La3Zn2SiPd9 structure.

Results
SG	No. 164
uncorrected energy	-5.1697	eV/atom

Cell: 6.6127 6.6127 8.4065 Å, 90.00 90.00 120.00°
Fractional positions:
1 La 0.0000 0.0000 0.0000
2 La 0.3333 0.6667 0.6916
3 La 0.6667 0.3333 0.3084
4 Zn 0.3333 0.6667 0.1889
5 Zn 0.6667 0.3333 0.8111
6 Si 0.0000 0.0000 0.5000
7 Pd 0.0000 0.5000 0.0000
8 Pd 0.1409 0.2818 0.2974
9 Pd 0.1409 0.8591 0.2974
10 Pd 0.2818 0.1409 0.7026
11 Pd 0.5000 0.0000 0.0000
12 Pd 0.5000 0.5000 0.0000
13 Pd 0.7182 0.8591 0.2974
14 Pd 0.8591 0.1409 0.7026
15 Pd 0.8591 0.7182 0.7026

=====

DFT (PBE-GGA) results for a geometry-optimized La2ZnSi3Pd4 structure.

Results
SG	No. 115
uncorrected energy	-5.6877	eV/atom

Cell: 4.3216 4.3216 10.0621 Å, 90.00 90.00 90.00°
Fractional positions:
1 La 0.0000 0.5000 0.2471
2 La 0.5000 0.0000 0.7529
3 Zn 0.5000 0.5000 0.0000
4 Si 0.0000 0.0000 0.0000
5 Si 0.0000 0.5000 0.6256
6 Si 0.5000 0.0000 0.3744
7 Pd 0.0000 0.0000 0.5000
8 Pd 0.0000 0.5000 0.8687
9 Pd 0.5000 0.0000 0.1313
10 Pd 0.5000 0.5000 0.5000

=====

DFT (PBE-GGA) results for a geometry-optimized LaZn2SiPd2 structure.

Results
SG	No. 123
uncorrected energy	-4.3427	eV/atom

Cell: 4.5971 4.5971 5.7518 Å, 90.00 90.00 90.00°
Fractional positions:
1 La 0.0000 0.0000 0.0000
2 Zn 0.5000 0.5000 0.2356
3 Zn 0.5000 0.5000 0.7644
4 Si 0.0000 0.0000 0.5000
5 Pd 0.0000 0.5000 0.5000
6 Pd 0.5000 0.0000 0.5000

=====

DFT (PBE-GGA) results for a geometry-optimized La2ZnSiPd6 structure.

Results
SG	No. 12
uncorrected energy	-5.4948	eV/atom

Cell: 6.4602 6.4602 8.2476 Å, 126.62 126.62 51.07°
Fractional positions:
1 La 0.2417 0.2417 0.2126
2 La 0.7583 0.7583 0.7874
3 Zn 0.5000 0.5000 0.0000
4 Si 0.0000 0.0000 0.5000
5 Pd 0.2450 0.7410 0.2564
6 Pd 0.2503 0.2503 0.6067
7 Pd 0.2590 0.7550 0.7436
8 Pd 0.7410 0.2450 0.2564
9 Pd 0.7497 0.7497 0.3933
10 Pd 0.7550 0.2590 0.7436

=====

DFT (PBE-GGA) results for a geometry-optimized LaZnSi2Pd structure.

Results
SG	No. 119
uncorrected energy	-5.2087	eV/atom

Cell: 5.9772 5.9772 5.9772 Å, 138.73 138.73 59.79°
Fractional positions:
1 La 0.0000 0.0000 0.0000
2 Zn 0.7500 0.2500 0.5000
3 Si 0.3836 0.3836 0.0000
4 Si 0.6164 0.6164 0.0000
5 Pd 0.2500 0.7500 0.5000

=====

DFT (PBE-GGA) results for a geometry-optimized La2Sm2Pd15 structure.

Results
SG	No. 166
energy relative to the elements	-11.02	eV per formula unit

Cell: 7.1802 7.1802 7.1802 Å, 80.98 80.98 80.98°
Fractional positions:
1 La 0.1389 0.1389 0.1389
2 La 0.8611 0.8611 0.8611
3 Sm 0.3915 0.3915 0.3915
4 Sm 0.6085 0.6085 0.6085
5 Pd 0.0000 0.5000 0.5000
6 Pd 0.1501 0.1501 0.6606
7 Pd 0.1501 0.6606 0.1501
8 Pd 0.1917 0.5000 0.8083
9 Pd 0.1917 0.8083 0.5000
10 Pd 0.3394 0.8499 0.8499
11 Pd 0.5000 0.0000 0.5000
12 Pd 0.5000 0.1917 0.8083
13 Pd 0.5000 0.5000 0.0000
14 Pd 0.5000 0.8083 0.1917
15 Pd 0.6606 0.1501 0.1501
16 Pd 0.8083 0.1917 0.5000
17 Pd 0.8083 0.5000 0.1917
18 Pd 0.8499 0.3394 0.8499
19 Pd 0.8499 0.8499 0.3394

=====

DFT (PBE-GGA) results for a geometry-optimized La2SmPd structure.

Results
SG	No. 62
energy relative to the elements	-1.66	eV per formula unit

Cell: 7.3132 10.3422 6.6166 Å, 90.00 90.00 90.00°
Fractional positions:
1 La 0.1788 0.0604 0.1670
2 La 0.1788 0.4396 0.1670
3 La 0.3212 0.5604 0.6670
4 La 0.3212 0.9396 0.6670
5 La 0.6788 0.0604 0.3330
6 La 0.6788 0.4396 0.3330
7 La 0.8212 0.5604 0.8330
8 La 0.8212 0.9396 0.8330
9 Sm 0.0269 0.2500 0.6512
10 Sm 0.4731 0.7500 0.1512
11 Sm 0.5269 0.2500 0.8488
12 Sm 0.9731 0.7500 0.3488
13 Pd 0.1198 0.7500 0.9241
14 Pd 0.3802 0.2500 0.4241
15 Pd 0.6198 0.7500 0.5759
16 Pd 0.8802 0.2500 0.0759

=====

DFT (PBE-GGA) results for a geometry-optimized LaSm2Pd structure.

Results
SG	No. 62
energy relative to the elements	-1.71	eV per formula unit

Cell: 7.2476 10.0604 6.6544 Å, 90.00 90.00 90.00°
Fractional positions:
1 La 0.0238 0.2500 0.1399
2 La 0.4762 0.7500 0.6399
3 La 0.5238 0.2500 0.3601
4 La 0.9762 0.7500 0.8601
5 Sm 0.1779 0.0608 0.6685
6 Sm 0.1779 0.4392 0.6685
7 Sm 0.3221 0.5608 0.1685
8 Sm 0.3221 0.9392 0.1685
9 Sm 0.6779 0.0608 0.8315
10 Sm 0.6779 0.4392 0.8315
11 Sm 0.8221 0.5608 0.3315
12 Sm 0.8221 0.9392 0.3315
13 Pd 0.1170 0.7500 0.4261
14 Pd 0.3830 0.2500 0.9261
15 Pd 0.6170 0.7500 0.0739
16 Pd 0.8830 0.2500 0.5739